HfZr2TaN4 (PBE-GGA, relaxed); symmetry = No. 10; total energy = -84.35 eV for the cell shown; uncorrected formation energy = -1.518 eV per atom
1.0
5.561 0.000 0.000
0.000 3.210 0.000
-1.862 0.000 5.257
Hf Zr Ta N
1 2 1 4
Direct
0.000 0.000 0.000
0.000 0.500 0.500
0.500 0.000 0.500
0.500 0.500 0.000
0.247 0.500 0.235
0.257 0.000 0.765
0.743 0.000 0.235
0.753 0.500 0.765